## Ba2Mg4TlCd3 (GGA-PBE)

Data for a relaxed Ba2Mg4TlCd3 crystal.

The structure in POSCAR format:
```
Ba2Mg4TlCd3
1.0
4.831 0.000 0.000
0.000 4.831 0.000
0.000 0.000 12.904
Ba Mg Tl Cd
2 4 1 3
direct
0.500 0.000 0.251
0.000 0.500 0.749
0.500 0.500 0.000
0.000 0.000 0.000
0.500 0.000 0.634
0.000 0.500 0.366
0.500 0.500 0.500
0.000 0.000 0.500
0.500 0.000 0.862
0.000 0.500 0.138
```

Total magnetization (μB/f.u.): 0.0
Space group: No. 115
Formation enthalpy at 0 K (eV/atom): -0.20
Volume (Å³ per cell): 301.2